# 1
{
  "formula": "HfCdAu4",
  "functional": "PBE",
  "state": "optimized geometry",
  "cell": [[3.448, 0.000, 0.997], [1.884, 4.707, -0.054], [-0.198, -1.301, 7.143]],
  "species": ["Hf", "Cd", "Au", "Au", "Au", "Au"],
  "fractional_positions": [[0.500, 0.500, 0.500], [0.000, 0.000, 0.000], [0.841, 0.495, 0.822], [0.324, 0.011, 0.341], [0.159, 0.505, 0.178], [0.676, 0.989, 0.659]],
  "spacegroup": "C2/m",
  "delta_e_f_ev_per_fu": -2.2,
  "crystal_system": "monoclinic"
}



# 2
{
  "formula": "KCaCdF6",
  "functional": "PBE",
  "state": "optimized geometry",
  "cell": [[-0.887, 6.953, -2.296], [-7.287, 0.074, 3.039], [6.032, -1.740, 4.247]],
  "species": ["K", "K", "Ca", "Ca", "Cd", "Cd", "F", "F", "F", "F", "F", "F", "F", "F", "F", "F", "F", "F"],
  "fractional_positions": [[0.868, 0.618, 0.736], [0.132, 0.382, 0.264], [0.500, 0.000, 0.500], [0.000, 0.000, 0.500], [0.500, 0.500, 0.000], [0.500, 0.000, 0.000], [0.604, 0.854, 0.208], [0.872, 0.122, 0.743], [0.844, 0.171, 0.277], [0.433, 0.607, 0.277], [0.433, 0.171, 0.277], [0.844, 0.607, 0.277], [0.396, 0.146, 0.792], [0.128, 0.878, 0.257], [0.156, 0.829, 0.723], [0.567, 0.393, 0.723], [0.567, 0.829, 0.723], [0.156, 0.393, 0.723]],
  "e_tot_ev_per_atom": -4.316,
  "spacegroup": "Imma",
  "crystal_system": "orthorhombic"
}



# 3
{
  "formula": "Pu4Ga12Cu",
  "functional": "PBE",
  "state": "optimized geometry",
  "cell": [[7.064, 0.000, -2.497], [-3.532, 6.117, -2.497], [0.000, 0.000, 7.492]],
  "species": ["Pu", "Pu", "Pu", "Pu", "Ga", "Ga", "Ga", "Ga", "Ga", "Ga", "Ga", "Ga", "Ga", "Ga", "Ga", "Ga", "Cu"],
  "fractional_positions": [[0.000, 0.000, 0.500], [0.500, 0.000, 0.000], [0.500, 0.500, 0.500], [0.000, 0.500, 0.000], [0.000, 0.291, 0.291], [0.000, 0.709, 0.709], [0.709, 0.709, 0.000], [0.291, 0.291, 0.000], [0.291, 0.000, 0.291], [0.709, 0.000, 0.709], [0.500, 0.250, 0.750], [0.500, 0.750, 0.250], [0.750, 0.250, 0.500], [0.250, 0.750, 0.500], [0.750, 0.500, 0.250], [0.250, 0.500, 0.750], [0.000, 0.000, 0.000]],
  "spacegroup": "Im-3m",
  "delta_e_f_ev_per_fu": -6.2,
  "crystal_system": "cubic"
}